PBE LuNb2W, relaxed; final energy = -36.32 eV per formula unit; SG = F-43m (216)
1.0
6.733 0.000 0.000
0.000 6.733 0.000
0.000 0.000 6.733
Lu Nb W
4 8 4
Direct
0.000 0.000 0.000
0.000 0.500 0.500
0.500 0.000 0.500
0.500 0.500 0.000
0.000 0.000 0.500
0.000 0.500 0.000
0.250 0.250 0.250
0.250 0.750 0.750
0.500 0.000 0.000
0.500 0.500 0.500
0.750 0.250 0.750
0.750 0.750 0.250
0.250 0.250 0.750
0.250 0.750 0.250
0.750 0.250 0.250
0.750 0.750 0.750